No. 1
Here is crystalline Sb2OsPt at its relaxed geometry from Alexandria. Energies are from GGA-PBEsol.

Excess energy over the best structure of this formula in the dataset (meV/atom): 145
Fermi-level density of states (states/eV/atom): 0.66
Raw total energy (eV for the cell shown): -52.914
Magnetic moment (μB/atom): 0.0000
Space-group type: No. 122
Density (g/cm3): 10.23
Formation energy from raw total energies (eV per formula unit): 1.84

Cell lengths 7.171, 7.171, 7.171 Å; angles 131.23, 131.23, 71.44 degrees
Sites, in units of the cell vectors:
Sb  0.118  0.625  0.993
Sb  0.375  0.368  0.493
Sb  0.632  0.125  0.007
Sb  0.875  0.882  0.507
Os  0.000  0.000  0.000
Os  0.750  0.250  0.500
Pt  0.250  0.750  0.500
Pt  0.500  0.500  0.000

---

No. 2
Here is crystalline BaMn2FeCo at its relaxed geometry from Alexandria. Energies are from GGA-PBEsol.

Fermi-level density of states (states/eV/atom): 1.40
Raw total energy (eV for the cell shown): -25.276
Formation energy from the elements (eV per atom): 2.62
Magnetic moment (μB/atom): 2.2149
Space-group type: No. 123
Density (g/cm3): 5.39

Cell lengths 4.912, 4.912, 4.622 Å; angles 90.00, 90.00, 90.00 degrees
Sites, in units of the cell vectors:
Ba  0.000  0.000  0.000
Mn  0.000  0.500  0.000
Mn  0.500  0.000  0.000
Fe  0.500  0.500  0.500
Co  0.000  0.000  0.500

---

No. 3
Here is crystalline BiCI2O at its relaxed geometry from Alexandria. Energies are from GGA-PBEsol.

Fermi-level density of states (states/eV/atom): 0.90
Raw total energy (eV for the cell shown): -16.238
Magnetic moment (μB/atom): 0.2954
Space-group type: No. 123
Density (g/cm3): 5.27
Formation energy from raw total energies (eV per formula unit): 6.47

Cell lengths 6.067, 6.067, 4.202 Å; angles 90.00, 90.00, 90.00 degrees
Sites, in units of the cell vectors:
Bi  0.000  0.000  0.000
C  0.500  0.500  0.500
I  0.000  0.500  0.000
I  0.500  0.000  0.000
O  0.000  0.000  0.500

---

No. 4
Here is crystalline Li2ZrSb2 at its relaxed geometry from Alexandria. Energies are from GGA-PBEsol.

Fermi-level density of states (states/eV/atom): 0.54
Raw total energy (eV for the cell shown): -48.130
Magnetic moment (μB/atom): 0.0000
Space-group type: No. 127
Density (g/cm3): 6.10
Formation energy from raw total energies (eV per formula unit): -1.93

Cell lengths 7.732, 7.732, 3.177 Å; angles 90.00, 90.00, 90.00 degrees
Sites, in units of the cell vectors:
Li  0.110  0.390  0.000
Li  0.390  0.890  0.000
Li  0.610  0.110  0.000
Li  0.890  0.610  0.000
Zr  0.000  0.000  0.000
Zr  0.500  0.500  0.000
Sb  0.187  0.687  0.500
Sb  0.313  0.187  0.500
Sb  0.687  0.813  0.500
Sb  0.813  0.313  0.500